[1]
This record from Alexandria describes a relaxed SnHgSe2 crystal. The functional is GGA-PBE.

abc: 4.6279 8.0129 8.3018
angles: 80.68 73.89 89.96
Sites, in units of the cell vectors:
1 Sn 0.0375 0.1706 0.3019
2 Se 0.9453 0.4730 0.4877
3 Se 0.4454 0.9730 0.4877
4 Hg 0.7876 0.4210 0.8020
5 Hg 0.2872 0.9210 0.8020
6 Se 0.1296 0.8685 0.1163
7 Se 0.6296 0.3685 0.1163
8 Sn 0.5375 0.6706 0.3019

Calculated values
M_tot = 0.000 μB/f.u.
energy relative to the elements, uncorrected = -0.206 eV per atom

=====

[2]
This record from Alexandria describes a relaxed SnHg2Se2 crystal. The functional is GGA-PBE.

abc: 8.3603 8.3603 4.0764
angles: 90.00 90.00 90.00
Sites, in units of the cell vectors:
1 Hg 0.1143 0.6143 0.5000
2 Hg 0.3857 0.1143 0.5000
3 Se 0.7306 0.2306 0.0000
4 Se 0.2306 0.2694 0.0000
5 Hg 0.6143 0.8857 0.5000
6 Se 0.7694 0.7306 0.0000
7 Hg 0.8857 0.3857 0.5000
8 Sn 0.5000 0.5000 0.0000
9 Sn 0.0000 0.0000 0.0000
10 Se 0.2694 0.7694 0.0000

Calculated values
distance to the lowest polymorph of the same formula = 0 meV/atom
M_tot = 0.000 μB/f.u.
energy relative to the elements, uncorrected = -0.043 eV per atom

=====

Among the records above, which one has the highest energy relative to the elements, uncorrected?
SnHg2Se2

=====

The lowest energy relative to the elements, uncorrected belongs to which entry?
SnHgSe2

=====

Number 2 is which compound?
SnHg2Se2

=====

Which value of energy relative to the elements, uncorrected does entry 2 give?
-0.043 eV per atom